{
  "formula": "Nd2Tl3Pd4",
  "functional": "PBE",
  "state": "relaxed",
  "lattice_angstrom": [[-3.178, 4.857, 1.962], [0.628, -2.440, 7.058], [9.080, 2.109, -0.079]],
  "species": ["Nd", "Nd", "Nd", "Nd", "Tl", "Tl", "Tl", "Tl", "Tl", "Tl", "Pd", "Pd", "Pd", "Pd", "Pd", "Pd", "Pd", "Pd"],
  "frac_coords": [[0.103, 0.586, 0.207], [0.897, 0.414, 0.793], [0.397, 0.086, 0.793], [0.603, 0.914, 0.207], [0.000, 0.000, 0.000], [0.500, 0.500, 0.000], [0.512, 0.750, 0.525], [0.988, 0.250, 0.475], [0.488, 0.250, 0.475], [0.012, 0.750, 0.525], [0.675, 0.750, 0.851], [0.825, 0.250, 0.149], [0.325, 0.250, 0.149], [0.175, 0.750, 0.851], [0.159, 0.975, 0.318], [0.841, 0.025, 0.682], [0.341, 0.475, 0.682], [0.659, 0.525, 0.318]],
  "dos_at_fermi_per_ev_fu": 5.36,
  "energy_ha_per_atom": -0.1703,
  "total_magnetization_mub_per_fu": 0.00
}

{
  "formula": "Nd2TlPd4",
  "functional": "PBE",
  "state": "relaxed",
  "lattice_angstrom": [[-3.158, -3.067, 2.457], [3.272, -0.305, 3.824], [-3.210, 7.464, 0.018]],
  "species": ["Nd", "Nd", "Tl", "Pd", "Pd", "Pd", "Pd"],
  "frac_coords": [[0.631, 0.631, 0.262], [0.369, 0.369, 0.738], [0.000, 0.000, 0.000], [0.814, 0.814, 0.628], [0.186, 0.186, 0.372], [0.000, 0.500, 0.000], [0.500, 0.000, 0.000]],
  "dos_at_fermi_per_ev_fu": 4.12,
  "energy_ha_per_atom": -0.1746,
  "total_magnetization_mub_per_fu": 0.00
}